First-principles (PBE-GGA) data for Ba3As2Pd after structural relaxation, as listed in the Alexandria database.

a = 4.7150 Å, b = 12.8848 Å, c = 12.9853 Å
α = 90.00°, β = 90.00°, γ = 90.00°
Atoms (fractional coordinates):
Ba: 0.2500 0.3748 0.0574
Ba: 0.7500 0.6252 0.9426
Ba: 0.7500 0.8748 0.4426
Ba: 0.2500 0.1252 0.5574
Ba: 0.2500 0.6939 0.2136
Ba: 0.7500 0.3061 0.7864
Ba: 0.7500 0.1939 0.2864
Ba: 0.2500 0.8061 0.7136
Ba: 0.2500 0.4484 0.3815
Ba: 0.7500 0.5516 0.6185
Ba: 0.7500 0.9484 0.1185
Ba: 0.2500 0.0516 0.8815
As: 0.2500 0.6872 0.4717
As: 0.7500 0.3128 0.5283
As: 0.7500 0.1872 0.0283
As: 0.2500 0.8128 0.9717
As: 0.2500 0.0145 0.3020
As: 0.7500 0.9855 0.6980
As: 0.7500 0.5145 0.1980
As: 0.2500 0.4855 0.8020
Pd: 0.2500 0.1343 0.1243
Pd: 0.7500 0.8657 0.8757
Pd: 0.7500 0.6343 0.3757
Pd: 0.2500 0.3657 0.6243

=====

First-principles (PBE-GGA) data for BaAs2Pd after structural relaxation, as listed in the Alexandria database.

a = 4.6619 Å, b = 4.7416 Å, c = 9.0452 Å
α = 105.21°, β = 90.00°, γ = 90.00°
Atoms (fractional coordinates):
As: 0.2500 0.9632 0.9258
As: 0.7500 0.0368 0.0742
As: 0.7500 0.7509 0.5012
As: 0.2500 0.2491 0.4988
Ba: 0.2500 0.6062 0.2121
Ba: 0.7500 0.3938 0.7879
Pd: 0.7500 0.1862 0.3722
Pd: 0.2500 0.8138 0.6278

=====

First-principles (PBE-GGA) data for BaAsPd4 after structural relaxation, as listed in the Alexandria database.

a = 6.2990 Å, b = 7.1318 Å, c = 6.2990 Å
α = 73.69°, β = 68.94°, γ = 73.69°
Atoms (fractional coordinates):
Ba: 0.1688 0.2192 0.1688
Ba: 0.8312 0.7808 0.8312
As: 0.4203 0.7677 0.4203
As: 0.5797 0.2323 0.5797
Pd: 0.1873 0.7510 0.1873
Pd: 0.8107 0.5720 0.4164
Pd: 0.7125 0.0000 0.2875
Pd: 0.5836 0.4280 0.1893
Pd: 0.8127 0.2490 0.8127
Pd: 0.1893 0.4280 0.5836
Pd: 0.2875 0.0000 0.7125
Pd: 0.4164 0.5720 0.8107

Output
- energy above the lowest structure with this stoichiometry (meV per atom) = 0.0

=====

First-principles (PBE-GGA) data for BaAs2Pd3 after structural relaxation, as listed in the Alexandria database.

a = 4.2325 Å, b = 8.3682 Å, c = 7.9490 Å
α = 112.91°, β = 90.00°, γ = 104.65°
Atoms (fractional coordinates):
Ba: 0.8465 0.6931 0.9316
Ba: 0.1535 0.3069 0.0684
As: 0.4783 0.9567 0.8134
As: 0.5217 0.0433 0.1866
As: 0.8164 0.6328 0.3379
As: 0.1836 0.3672 0.6621
Pd: 0.3149 0.6298 0.5599
Pd: 0.9542 0.9084 0.6282
Pd: 0.5901 0.1802 0.6670
Pd: 0.4099 0.8198 0.3330
Pd: 0.0458 0.0916 0.3718
Pd: 0.6851 0.3702 0.4401

Output
- energy above the lowest structure with this stoichiometry (meV per atom) = 0.0

=====

First-principles (PBE-GGA) data for Ba8AsPd3 after structural relaxation, as listed in the Alexandria database.

a = 9.4608 Å, b = 9.4577 Å, c = 9.3130 Å
α = 120.51°, β = 90.00°, γ = 120.01°
Atoms (fractional coordinates):
Ba: 0.2556 0.5113 0.7669
Ba: 0.7444 0.4887 0.2331
Ba: 0.2607 0.0174 0.7740
Ba: 0.7567 0.0174 0.7740
Ba: 0.7566 0.5132 0.7739
Ba: 0.2434 0.4868 0.2261
Ba: 0.2433 0.9826 0.2260
Ba: 0.7393 0.9826 0.2260
As: 0.0000 0.0000 0.0000
Pd: 0.5000 0.0000 0.0000
Pd: 0.5000 0.5000 0.0000
Pd: 0.0000 0.5000 0.0000

=====

First-principles (PBE-GGA) data for BaAsPd4 after structural relaxation, as listed in the Alexandria database.

a = 4.1697 Å, b = 7.9924 Å, c = 7.6079 Å
α = 90.00°, β = 90.00°, γ = 90.00°
Atoms (fractional coordinates):
Ba: 0.0000 0.6253 0.7500
Ba: 0.0000 0.3747 0.2500
As: 0.0000 0.2042 0.7500
As: 0.0000 0.7958 0.2500
Pd: 0.0000 0.0000 0.5000
Pd: 0.0000 0.0000 0.0000
Pd: 0.5000 0.9306 0.7500
Pd: 0.5000 0.0694 0.2500
Pd: 0.5000 0.7574 0.0647
Pd: 0.5000 0.2426 0.9353
Pd: 0.5000 0.7574 0.4353
Pd: 0.5000 0.2426 0.5647

Output
- energy above the lowest structure with this stoichiometry (meV per atom) = 36.4

=====

First-principles (PBE-GGA) data for BaAs3Pd3 after structural relaxation, as listed in the Alexandria database.

a = 7.2092 Å, b = 7.2092 Å, c = 8.7363 Å
α = 65.63°, β = 65.63°, γ = 60.00°
Atoms (fractional coordinates):
Ba: 0.3330 0.3330 0.0009
Ba: 0.6670 0.6670 0.9991
As: 0.4185 0.7749 0.7075
As: 0.7749 0.0991 0.7075
As: 0.0991 0.4185 0.7075
As: 0.9009 0.5815 0.2925
As: 0.2251 0.9009 0.2925
As: 0.5815 0.2251 0.2925
Pd: 0.2104 0.5320 0.3841
Pd: 0.8734 0.2104 0.3841
Pd: 0.5320 0.8734 0.3841
Pd: 0.4680 0.1266 0.6159
Pd: 0.1266 0.7896 0.6159
Pd: 0.7896 0.4680 0.6159

Output
- energy above the lowest structure with this stoichiometry (meV per atom) = 23.2

=====

First-principles (PBE-GGA) data for Ba2As4Pd5 after structural relaxation, as listed in the Alexandria database.

a = 6.0978 Å, b = 6.3208 Å, c = 7.8473 Å
α = 79.20°, β = 67.14°, γ = 61.16°
Atoms (fractional coordinates):
Ba: 0.8574 0.0000 0.2852
Ba: 0.1426 0.0000 0.7148
As: 0.4636 0.3213 0.7514
As: 0.5364 0.6787 0.2486
As: 0.2151 0.3213 0.2486
As: 0.7849 0.6787 0.7514
Pd: 0.5000 0.0000 0.0000
Pd: 0.0000 0.5000 0.0000
Pd: 0.5000 0.5000 0.0000
Pd: 0.2500 0.5000 0.5000
Pd: 0.7500 0.5000 0.5000

=====

First-principles (PBE-GGA) data for BaAs2Pd8 after structural relaxation, as listed in the Alexandria database.

a = 5.5602 Å, b = 5.5602 Å, c = 8.3785 Å
α = 90.00°, β = 90.00°, γ = 90.00°
Atoms (fractional coordinates):
Ba: 0.5000 0.5000 0.5000
As: 0.5000 0.0000 0.0000
As: 0.0000 0.5000 0.0000
Pd: 0.7522 0.7522 0.1829
Pd: 0.7522 0.2478 0.8172
Pd: 0.7522 0.7522 0.8172
Pd: 0.7522 0.2478 0.1829
Pd: 0.2478 0.7522 0.1829
Pd: 0.2478 0.7522 0.8172
Pd: 0.2478 0.2478 0.1829
Pd: 0.2478 0.2478 0.8172

=====

First-principles (PBE-GGA) data for BaAs2Pd3 after structural relaxation, as listed in the Alexandria database.

a = 8.9608 Å, b = 8.9608 Å, c = 8.9608 Å
α = 151.82°, β = 125.24°, γ = 62.71°
Atoms (fractional coordinates):
Ba: 0.1636 0.1636 0.0000
Ba: 0.8364 0.8364 0.0000
As: 0.1538 0.5000 0.6538
As: 0.8462 0.5000 0.3462
As: 0.6378 0.1378 0.5000
As: 0.3622 0.8622 0.5000
Pd: 0.4630 0.6287 0.8344
Pd: 0.3231 0.0000 0.3231
Pd: 0.2057 0.3713 0.8344
Pd: 0.7943 0.6287 0.1656
Pd: 0.6769 0.0000 0.6769
Pd: 0.5370 0.3713 0.1656

Output
- energy above the lowest structure with this stoichiometry (meV per atom) = 116.5

=====

First-principles (PBE-GGA) data for Ba2As7Pd12 after structural relaxation, as listed in the Alexandria database.

a = 4.2542 Å, b = 10.2527 Å, c = 10.2527 Å
α = 120.00°, β = 90.00°, γ = 90.00°
Atoms (fractional coordinates):
Ba: 0.2462 0.3333 0.6667
Ba: 0.7538 0.6667 0.3333
As: 0.5000 0.0000 0.0000
As: 0.2534 0.8947 0.2951
As: 0.2534 0.4004 0.1053
As: 0.2534 0.7049 0.5996
As: 0.7466 0.1053 0.7049
As: 0.7466 0.5996 0.8947
As: 0.7466 0.2951 0.4004
Pd: 0.2527 0.6216 0.0531
Pd: 0.2527 0.4314 0.3784
Pd: 0.2527 0.9469 0.5686
Pd: 0.7473 0.3784 0.9469
Pd: 0.7473 0.5686 0.6216
Pd: 0.7473 0.0531 0.4314
Pd: 0.2255 0.1114 0.2485
Pd: 0.2255 0.1371 0.8886
Pd: 0.2255 0.7515 0.8629
Pd: 0.7745 0.8886 0.7515
Pd: 0.7745 0.8629 0.1114
Pd: 0.7745 0.2485 0.1371

=====

First-principles (PBE-GGA) data for BaAsPd3 after structural relaxation, as listed in the Alexandria database.

a = 5.3158 Å, b = 5.3158 Å, c = 5.3158 Å
α = 90.00°, β = 90.00°, γ = 90.00°
Atoms (fractional coordinates):
As: 0.5000 0.5000 0.5000
Ba: 0.0000 0.0000 0.0000
Pd: 0.0000 0.5000 0.0000
Pd: 0.0000 0.0000 0.5000
Pd: 0.5000 0.0000 0.0000

Output
- energy above the lowest structure with this stoichiometry (meV per atom) = 1815.8

=====

First-principles (PBE-GGA) data for BaAs2Pd after structural relaxation, as listed in the Alexandria database.

a = 5.1101 Å, b = 5.1101 Å, c = 5.1101 Å
α = 60.00°, β = 60.00°, γ = 60.00°
Atoms (fractional coordinates):
As: 0.2500 0.2500 0.2500
As: 0.7500 0.7500 0.7500
Ba: 0.5000 0.5000 0.5000
Pd: 0.0000 0.0000 0.0000

=====

First-principles (PBE-GGA) data for BaAsPd3 after structural relaxation, as listed in the Alexandria database.

a = 4.8781 Å, b = 4.8781 Å, c = 4.8781 Å
α = 90.00°, β = 90.00°, γ = 90.00°
Atoms (fractional coordinates):
As: 0.0000 0.0000 0.0000
Ba: 0.5000 0.5000 0.5000
Pd: 0.0000 0.5000 0.0000
Pd: 0.0000 0.0000 0.5000
Pd: 0.5000 0.0000 0.0000

Output
- energy above the lowest structure with this stoichiometry (meV per atom) = 142.7

=====

First-principles (PBE-GGA) data for Ba2As2Pd after structural relaxation, as listed in the Alexandria database.

a = 7.5656 Å, b = 7.5656 Å, c = 4.9091 Å
α = 90.00°, β = 90.00°, γ = 90.00°
Atoms (fractional coordinates):
As: 0.3786 0.8786 0.0000
As: 0.8786 0.6214 0.0000
As: 0.6214 0.1214 0.0000
As: 0.1214 0.3786 0.0000
Ba: 0.1797 0.6797 0.5000
Ba: 0.6797 0.8203 0.5000
Ba: 0.8203 0.3203 0.5000
Ba: 0.3203 0.1797 0.5000
Pd: 0.0000 0.0000 0.0000
Pd: 0.5000 0.5000 0.0000

Output
- energy above the lowest structure with this stoichiometry (meV per atom) = 201.8

=====

First-principles (PBE-GGA) data for BaAs2Pd4 after structural relaxation, as listed in the Alexandria database.

a = 4.1815 Å, b = 7.3883 Å, c = 18.0939 Å
α = 90.00°, β = 90.00°, γ = 90.00°
Atoms (fractional coordinates):
As: 0.2500 0.6993 0.5495
As: 0.7500 0.3007 0.4505
As: 0.7500 0.1993 0.9505
As: 0.2500 0.8007 0.0495
As: 0.2500 0.0153 0.7530
As: 0.7500 0.9847 0.2470
As: 0.7500 0.5153 0.7470
As: 0.2500 0.4847 0.2530
Ba: 0.7500 0.0336 0.6075
Ba: 0.2500 0.9664 0.3925
Ba: 0.2500 0.5336 0.8925
Ba: 0.7500 0.4664 0.1075
Pd: 0.2500 0.3264 0.7012
Pd: 0.7500 0.6736 0.2988
Pd: 0.7500 0.8264 0.7988
Pd: 0.2500 0.1736 0.2012
Pd: 0.2500 0.7101 0.6944
Pd: 0.7500 0.2899 0.3056
Pd: 0.7500 0.2101 0.8056
Pd: 0.2500 0.7899 0.1944
Pd: 0.2500 0.3579 0.5309
Pd: 0.7500 0.6421 0.4691
Pd: 0.7500 0.8579 0.9691
Pd: 0.2500 0.1421 0.0309
Pd: 0.2500 0.4847 0.3859
Pd: 0.7500 0.5153 0.6141
Pd: 0.7500 0.9847 0.1141
Pd: 0.2500 0.0153 0.8859

Output
- energy above the lowest structure with this stoichiometry (meV per atom) = 0.0

=====

First-principles (PBE-GGA) data for BaAs3Pd5 after structural relaxation, as listed in the Alexandria database.

a = 4.0495 Å, b = 6.9352 Å, c = 13.0654 Å
α = 90.00°, β = 90.00°, γ = 106.97°
Atoms (fractional coordinates):
Ba: 0.8444 0.6889 0.7500
Ba: 0.1556 0.3111 0.2500
As: 0.3833 0.7666 0.9610
As: 0.8791 0.7583 0.2500
As: 0.3833 0.7666 0.5390
As: 0.6167 0.2334 0.4610
As: 0.1209 0.2417 0.7500
As: 0.6167 0.2334 0.0390
Pd: 0.7986 0.5973 0.4317
Pd: 0.2014 0.4027 0.9317
Pd: 0.0000 0.0000 0.5000
Pd: 0.0000 0.0000 0.0000
Pd: 0.4437 0.8874 0.1455
Pd: 0.5563 0.1126 0.8545
Pd: 0.5563 0.1126 0.6455
Pd: 0.7986 0.5973 0.0683
Pd: 0.2014 0.4027 0.5683
Pd: 0.4437 0.8874 0.3545

=====

First-principles (PBE-GGA) data for BaPmAs2Pd5 after structural relaxation, as listed in the Alexandria database.

a = 4.6454 Å, b = 4.6454 Å, c = 9.9823 Å
α = 90.00°, β = 90.00°, γ = 90.00°
Atoms (fractional coordinates):
Ba: 0.0000 0.0000 0.5000
Pm: 0.0000 0.0000 0.0000
As: 0.5000 0.5000 0.2593
As: 0.5000 0.5000 0.7407
Pd: 0.0000 0.5000 0.1847
Pd: 0.5000 0.0000 0.1847
Pd: 0.0000 0.5000 0.8153
Pd: 0.5000 0.0000 0.8153
Pd: 0.5000 0.5000 0.5000

=====

First-principles (PBE-GGA) data for BaPmAsPd after structural relaxation, as listed in the Alexandria database.

a = 5.3555 Å, b = 5.3555 Å, c = 5.3555 Å
α = 60.00°, β = 60.00°, γ = 60.00°
Atoms (fractional coordinates):
As: 0.0000 0.0000 0.0000
Ba: 0.2500 0.2500 0.2500
Pd: 0.5000 0.5000 0.5000
Pm: 0.7500 0.7500 0.7500

=====

First-principles (PBE-GGA) data for BaPmAs2Pd4 after structural relaxation, as listed in the Alexandria database.

a = 4.2477 Å, b = 4.2477 Å, c = 10.3441 Å
α = 90.00°, β = 90.00°, γ = 90.00°
Atoms (fractional coordinates):
Ba: 0.0000 0.0000 0.5000
Pm: 0.0000 0.0000 0.0000
As: 0.5000 0.5000 0.3242
As: 0.5000 0.5000 0.6758
Pd: 0.0000 0.5000 0.2008
Pd: 0.5000 0.0000 0.7992
Pd: 0.5000 0.0000 0.2008
Pd: 0.0000 0.5000 0.7992

=====

First-principles (PBE-GGA) data for BaPrAs2Pd4 after structural relaxation, as listed in the Alexandria database.

a = 4.2663 Å, b = 4.2663 Å, c = 10.3870 Å
α = 90.00°, β = 90.00°, γ = 90.00°
Atoms (fractional coordinates):
Ba: 0.0000 0.0000 0.5000
Pr: 0.0000 0.0000 0.0000
As: 0.5000 0.5000 0.3256
As: 0.5000 0.5000 0.6744
Pd: 0.0000 0.5000 0.2042
Pd: 0.5000 0.0000 0.7958
Pd: 0.5000 0.0000 0.2042
Pd: 0.0000 0.5000 0.7958

=====

| no. | total magnetic moment (μB/atom) | ΔH_f (0 K) (eV/f.u.) |
| --- | --- | --- |
| 1 | 0.00 | -5.93 |
| 2 | 0.00 | -3.30 |
| 3 | 0.00 | -2.87 |
| 4 | 0.00 | -4.00 |
| 5 | 0.01 | -6.03 |
| 6 | 0.00 | -2.66 |
| 7 | 0.00 | -3.62 |
| 8 | 0.00 | -7.41 |
| 9 | 0.00 | -1.72 |
| 10 | 0.00 | -3.30 |
| 11 | 0.00 | -11.73 |
| 12 | 0.00 | 5.84 |
| 13 | 0.00 | -0.65 |
| 14 | 0.00 | -2.52 |
| 15 | 0.00 | -3.75 |
| 16 | 0.00 | -4.35 |
| 17 | 0.00 | -5.61 |
| 18 | 0.00 | -5.47 |
| 19 | 0.00 | -2.95 |
| 20 | 0.00 | -5.45 |
| 21 | 0.00 | -5.36 |